Record 1
Below is a relaxed CeInS4 crystal, with properties calculated at the GGA-PBE level.

a = 5.8290 Å, b = 5.8290 Å, c = 8.9197 Å
α = 90.00°, β = 90.00°, γ = 78.44°
Closest atoms and distances in Å follow each position.
Positions (direct):
Ce 0.0742 0.9258 0.7500  8 S 2.80-3.01
Ce 0.9258 0.0742 0.2500  8 S 2.80-3.01
In 0.4405 0.5595 0.2500  4 S 2.46-2.50
In 0.5595 0.4405 0.7500  4 S 2.46-2.50
S 0.1403 0.4245 0.7500  1 In 2.46
S 0.2112 0.7888 0.0432  1 In 2.50, 1 Ce 2.80
S 0.2112 0.7888 0.4568  1 In 2.50, 1 Ce 2.80
S 0.4245 0.1403 0.2500  1 In 2.46
S 0.5755 0.8597 0.7500  1 In 2.46
S 0.7888 0.2112 0.5432  1 In 2.50, 1 Ce 2.80
S 0.7888 0.2112 0.9568  1 In 2.50, 1 Ce 2.80
S 0.8597 0.5755 0.2500  1 In 2.46

The value obtained for the total energy is -5.04 eV per atom. As for the space group: Cmcm, No. 63.

***

Record 2
Below is a relaxed Ce2InS4 crystal, with properties calculated at the GGA-PBE level.

a = 7.1653 Å, b = 11.3808 Å, c = 4.1088 Å
α = 90.00°, β = 90.00°, γ = 90.00°
Closest atoms and distances in Å follow each position.
Positions (direct):
Ce 0.0859 0.1828 0.0000  6 S 2.86-2.89
Ce 0.4141 0.6828 0.0000  6 S 2.86-2.89
Ce 0.5859 0.3172 0.0000  6 S 2.86-2.89
Ce 0.9141 0.8172 0.0000  6 S 2.86-2.89
In 0.0000 0.5000 0.5000  6 S 2.63-2.77
In 0.5000 0.0000 0.5000  6 S 2.63-2.77
S 0.1386 0.7138 0.5000  1 In 2.63, 4 Ce 2.86-2.87
S 0.2475 0.4513 0.0000  2 In 2.77, 2 Ce 2.86-2.89
S 0.2525 0.9513 0.0000  2 In 2.77, 2 Ce 2.86-2.89
S 0.3614 0.2138 0.5000  1 In 2.63, 4 Ce 2.86-2.87
S 0.6386 0.7862 0.5000  1 In 2.63, 4 Ce 2.86-2.87
S 0.7475 0.0487 0.0000  2 In 2.77, 2 Ce 2.86-2.89
S 0.7525 0.5487 0.0000  2 In 2.77, 2 Ce 2.86-2.89
S 0.8614 0.2862 0.5000  1 In 2.63, 4 Ce 2.86-2.87

The value obtained for the total energy is -5.91 eV per atom. As for the space group: Pbam, No. 55.

***

Record 3
Below is a relaxed CeIn2SnS4 crystal, with properties calculated at the GGA-PBE level.

a = 7.2134 Å, b = 4.1191 Å, c = 7.5918 Å
α = 90.00°, β = 108.18°, γ = 90.00°
Closest atoms and distances in Å follow each position.
Positions (direct):
Ce 0.0000 0.0000 0.0000  6 S 2.75-2.79
In 0.0000 0.5000 0.5000  6 S 3.10-3.13
In 0.5000 0.0000 0.5000  6 S 3.22-3.26
Sn 0.5000 0.5000 0.0000  6 S 2.90-2.91
S 0.2246 0.5000 0.2084  2 Ce 2.79, 1 Sn 2.90
S 0.2433 0.0000 0.7846  1 Ce 2.75, 2 Sn 2.91
S 0.7567 0.0000 0.2154  1 Ce 2.75, 2 Sn 2.91
S 0.7754 0.5000 0.7916  2 Ce 2.79, 1 Sn 2.90

The value obtained for the total energy is -4.84 eV per atom. As for the space group: P2/m, No. 10.

***

Record 4
Below is a relaxed CeTlInS4 crystal, with properties calculated at the GGA-PBE level.

a = 6.8303 Å, b = 6.7932 Å, c = 9.0117 Å
α = 90.00°, β = 109.32°, γ = 90.00°
Closest atoms and distances in Å follow each position.
Positions (direct):
Ce 0.2177 0.2500 0.0519  6 S 2.73-2.83
Ce 0.7823 0.7500 0.9481  6 S 2.73-2.83
Tl 0.2843 0.2500 0.5571  2 S 3.01-3.06
Tl 0.7157 0.7500 0.4429  2 S 3.01-3.06
In 0.2359 0.7500 0.8248  4 S 2.43-2.48
In 0.7641 0.2500 0.1752  4 S 2.43-2.48
S 0.0242 0.5142 0.2006  1 In 2.48
S 0.0242 0.9858 0.2006  1 In 2.48
S 0.4573 0.7500 0.6623  1 In 2.43
S 0.4907 0.7500 0.0941  1 In 2.47, 1 Ce 2.73
S 0.5093 0.2500 0.9059  1 In 2.47, 1 Ce 2.73
S 0.5427 0.2500 0.3377  1 In 2.43
S 0.9758 0.0142 0.7994  1 In 2.48
S 0.9758 0.4858 0.7994  1 In 2.48

The value obtained for the total energy is -4.90 eV per atom. As for the space group: P2_1/m, No. 11.

***

Record 5
Below is a relaxed CeTl2InS4 crystal, with properties calculated at the GGA-PBE level.

a = 7.0854 Å, b = 4.0324 Å, c = 7.8678 Å
α = 90.00°, β = 107.44°, γ = 90.00°
Closest atoms and distances in Å follow each position.
Positions (direct):
Ce 0.0000 0.0000 0.0000  6 S 2.80-2.84
Tl 0.0000 0.5000 0.5000  6 S 3.26-3.30
Tl 0.5000 0.0000 0.5000  6 S 3.22-3.24
In 0.5000 0.5000 0.0000  6 S 2.73-2.79
S 0.2368 0.5000 0.2027  1 In 2.79, 2 Ce 2.80
S 0.2783 0.0000 0.8048  2 In 2.73, 1 Ce 2.84
S 0.7217 0.0000 0.1952  2 In 2.73, 1 Ce 2.84
S 0.7632 0.5000 0.7973  1 In 2.79, 2 Ce 2.80

The value obtained for the total energy is -4.67 eV per atom. As for the space group: P2/m, No. 10.

***

Record 6
Below is a relaxed CeTl2InS5 crystal, with properties calculated at the GGA-PBE level.

a = 9.2538 Å, b = 9.2538 Å, c = 13.4798 Å
α = 90.00°, β = 90.00°, γ = 154.59°
Closest atoms and distances in Å follow each position.
Positions (direct):
Ce 0.2236 0.7764 0.5000  6 S 2.68-2.92
Ce 0.7764 0.2236 0.0000  6 S 2.68-2.92
Tl 0.0950 0.9050 0.1105  6 S 2.89-3.22
Tl 0.1204 0.8796 0.7836  7 S 3.18-3.50
Tl 0.8796 0.1204 0.2836  7 S 3.18-3.50
Tl 0.9050 0.0950 0.6105  6 S 2.89-3.22
In 0.4305 0.5695 0.8872  4 S 2.43-2.54
In 0.5695 0.4305 0.3872  4 S 2.43-2.54
S 0.0622 0.9378 0.4982  2 In 2.53
S 0.2719 0.7281 0.1292  2 Ce 2.68
S 0.2913 0.7087 0.8625  1 In 2.54, 2 Ce 2.77
S 0.3717 0.6283 0.4644  1 Ce 2.72, 2 Tl 2.89
S 0.4921 0.5079 0.7271  1 In 2.43
S 0.5079 0.4921 0.2271  1 In 2.43
S 0.6283 0.3717 0.9644  1 Ce 2.72, 2 Tl 2.89
S 0.7087 0.2913 0.3625  1 In 2.54, 2 Ce 2.77
S 0.7281 0.2719 0.6292  2 Ce 2.68
S 0.9378 0.0622 0.9982  2 In 2.53

The value obtained for the total energy is -4.58 eV per atom. As for the space group: Cmc2_1, No. 36.